The following is a GGA-PBE calculation of a relaxed Ce2Pr4Sn3H2 crystal, from Alexandria via LeMat-Bulk.

Cell: 13.3531 13.3531 13.3531 Å, 158.93 158.93 29.97°
Closest atoms and distances in Å follow each position.
Atoms (fractional coordinates):
Ce 0.1991 0.1991 0.0000  1 H 2.47
Ce 0.8009 0.8009 0.0000  1 H 2.47
Pr 0.0834 0.5834 0.5000  2 H 2.50
Pr 0.4166 0.9166 0.5000  2 H 2.50
Pr 0.5834 0.0834 0.5000  2 H 2.50
Pr 0.9166 0.4166 0.5000  2 H 2.50
Sn 0.3252 0.3252 0.0000  5 Ce 3.25-3.51, 4 Pr 3.39
Sn 0.5000 0.5000 0.0000  8 Pr 3.25
Sn 0.6748 0.6748 0.0000  5 Ce 3.25-3.51, 4 Pr 3.39
H 0.1033 0.1033 0.0000  1 Ce 2.47, 4 Pr 2.50
H 0.8967 0.8967 0.0000  1 Ce 2.47, 4 Pr 2.50

Values from the calculation:
* electronic total energy: -4.999 eV per atom

---

The following is a GGA-PBE calculation of a relaxed CaY2VSi crystal, from Alexandria via LeMat-Bulk.

Cell: 5.3976 5.3976 5.0498 Å, 90.00 90.00 90.00°
Closest atoms and distances in Å follow each position.
Atoms (fractional coordinates):
Ca 0.0000 0.0000 0.0000  2 Si 2.52, 4 Y 2.70
Y 0.0000 0.5000 0.0000  2 Ca 2.70
Y 0.5000 0.0000 0.0000  2 Ca 2.70
V 0.5000 0.5000 0.5000  8 Y 3.70, 4 Si 3.82
Si 0.0000 0.0000 0.5000  2 Ca 2.52

Values from the calculation:
* formation energy without anion corrections: 8.142 eV/f.u.

---

The following is a GGA-PBE calculation of a relaxed AlInP2S crystal, from Alexandria via LeMat-Bulk.

Cell: 4.7889 4.7889 4.6037 Å, 90.00 90.00 90.00°
Closest atoms and distances in Å follow each position.
Atoms (fractional coordinates):
Al 0.0000 0.0000 0.0000  2 S 2.30, 4 P 2.39
In 0.5000 0.5000 0.5000  8 P 3.32, 4 S 3.39
P 0.0000 0.5000 0.0000  2 Al 2.39
P 0.5000 0.0000 0.0000  2 Al 2.39
S 0.0000 0.0000 0.5000  2 Al 2.30

Values from the calculation:
* formation energy without anion corrections: 1.754 eV/f.u.

---

The following is a GGA-PBE calculation of a relaxed Pm4Tl2Hg crystal, from Alexandria via LeMat-Bulk.

Cell: 6.6005 6.6005 6.6005 Å, 110.02 110.02 108.38°
Closest atoms and distances in Å follow each position.
Atoms (fractional coordinates):
Pm 0.0000 0.0000 0.5000  2 Hg 3.30, 4 Tl 3.30
Pm 0.0000 0.5000 0.0000  2 Hg 3.30, 4 Tl 3.30
Pm 0.5000 0.0000 0.0000  2 Hg 3.30, 4 Tl 3.30
Pm 0.5000 0.5000 0.5000  2 Hg 3.30, 4 Tl 3.30
Tl 0.0000 0.5000 0.5000  8 Pm 3.30
Tl 0.5000 0.0000 0.5000  8 Pm 3.30
Hg 0.0000 0.0000 0.0000  8 Pm 3.30

Values from the calculation:
* E_form: -0.285 eV per atom

---

Number 1: Fermi-level density of states 22.59 states/eV/f.u.. Number 2: Fermi-level density of states 8.39 states/eV/f.u.. Number 3: Fermi-level density of states 4.99 states/eV/f.u.. Number 4: Fermi-level density of states 6.92 states/eV/f.u..